Record 1
MnSnSeBr2: relaxed, PBE.

Properties
space-group type = No. 123
total DFT energy (no corrections) = -4.26 eV/atom
formation energy from raw total energies = -0.2620 eV per atom
energy relative to the lowest polymorph listed for this composition = 0.0 meV per atom

POSCAR file:
```
MnSnSeBr2
1.0
-4.852 -1.608 0.172
0.151 -0.991 -5.015
1.637 -4.833 1.005
Br Se Mn Sn
2 1 1 1
Direct
0.000 0.500 0.000
0.500 0.000 0.000
0.000 0.000 0.500
0.000 0.000 0.000
0.500 0.500 0.500
```


Record 2
MnSnSe2Br: relaxed, PBE.

Properties
space-group type = No. 123
total DFT energy (no corrections) = -4.55 eV/atom
formation energy from raw total energies = -0.1912 eV per atom
energy relative to the lowest polymorph listed for this composition = 0.0 meV per atom

POSCAR file:
```
MnSnSe2Br
1.0
-1.301 -2.812 3.929
-3.219 -2.530 -2.876
3.599 -3.272 -1.150
Br Sn Mn Se
1 1 1 2
Direct
0.000 0.000 0.500
0.500 0.500 0.500
0.000 0.000 0.000
0.000 0.500 0.000
0.500 0.000 0.000
```


- Look up the energy relative to the lowest polymorph listed for this composition of the second one.
  0.0 meV per atom